# 1
Compound: GeSeN
Source: the Alexandria database
Functional: PBE-GGA
Structure: optimized geometry

a = 2.9484 Å, b = 4.8244 Å, c = 9.6791 Å
α = 80.83°, β = 81.88°, γ = 72.25°
Atoms (fractional coordinates):
Ge 0.0291 0.0801 0.3504
Ge 0.9709 0.9199 0.6496
Se 0.1438 0.3976 0.8405
Se 0.8562 0.6024 0.1595
N 0.3408 0.1196 0.7153
N 0.6592 0.8804 0.2847

Results
Space group   P-1
E   -5.118 eV/atom
Uncorrected formation energy   0.358 eV/atom
Energy relative to the lowest polymorph listed for this composition   484.8 meV per atom

# 2
Compound: MgSnF
Source: the Alexandria database
Functional: PBE-GGA
Structure: optimized geometry

a = 3.3931 Å, b = 7.3558 Å, c = 4.6369 Å
α = 90.00°, β = 90.00°, γ = 90.00°
Atoms (fractional coordinates):
Mg 0.0000 0.1522 0.0000
Mg 0.5000 0.8478 0.5000
Sn 0.0000 0.5832 0.1556
Sn 0.5000 0.4168 0.6556
F 0.0000 0.9540 0.6865
F 0.5000 0.0460 0.1865

Results
Space group   Pmn2_1
E   -4.136 eV/atom
Uncorrected formation energy   -1.646 eV/atom
Energy relative to the lowest polymorph listed for this composition   21.1 meV per atom

> Look up the uncorrected formation energy of the first one.

0.358 eV/atom

What did the first record say?
Compound: GeSeN
Source: the Alexandria database
Functional: PBE-GGA
Structure: optimized geometry

a = 2.9484 Å, b = 4.8244 Å, c = 9.6791 Å
α = 80.83°, β = 81.88°, γ = 72.25°
Atoms (fractional coordinates):
Ge 0.0291 0.0801 0.3504
Ge 0.9709 0.9199 0.6496
Se 0.1438 0.3976 0.8405
Se 0.8562 0.6024 0.1595
N 0.3408 0.1196 0.7153
N 0.6592 0.8804 0.2847

Results
Space group   P-1
E   -5.118 eV/atom
Uncorrected formation energy   0.358 eV/atom
Energy relative to the lowest polymorph listed for this composition   484.8 meV per atom